Entry 1:
First-principles (PBE) data for NaTl2Re after structural relaxation, as listed in Alexandria via LeMat-Bulk.

a b c (Å): 4.903 4.903 4.903
angles (deg): 60.00 60.00 60.00
Element x y z (fractional)
Re  0.500  0.500  0.500
Tl  0.250  0.250  0.250
Tl  0.750  0.750  0.750
Na  0.000  0.000  0.000

## Properties
Total energy = -3.81 eV per atom
ΔH_f (0 K) = 0.8176 eV per atom
Size of the total moment = 0.00 μB per formula unit


Entry 2:
First-principles (PBE) data for La2SiAs after structural relaxation, as listed in Alexandria via LeMat-Bulk.

a b c (Å): 3.393 3.777 8.820
angles (deg): 64.66 90.00 90.00
Element x y z (fractional)
As  0.500  0.750  0.750
La  0.000  0.003  0.997
La  0.000  0.497  0.503
Si  0.500  0.250  0.250

## Properties
Total energy = -5.81 eV per atom
Formation energy without anion corrections = -0.825 eV/atom
Size of the total moment = 0.00 μB per formula unit


Entry 3:
First-principles (PBE) data for Pr4NdTm2Mg after structural relaxation, as listed in Alexandria via LeMat-Bulk.

a b c (Å): 5.875 9.651 5.871
angles (deg): 52.56 90.00 90.00
Element x y z (fractional)
Pr  0.000  0.747  0.752
Pr  0.000  0.253  0.248
Pr  0.500  0.747  0.254
Pr  0.500  0.253  0.746
Nd  0.500  0.500  0.000
Tm  0.000  0.000  0.000
Tm  0.500  0.000  0.500
Mg  0.000  0.500  0.500

## Properties
Total energy = -4.26 eV per atom
ΔH_f (0 K) = 0.0459 eV per atom
Size of the total moment = 0.00 μB per formula unit


Entry 4:
First-principles (PBE) data for Pu2Pa3Pt3 after structural relaxation, as listed in Alexandria via LeMat-Bulk.

a b c (Å): 3.837 4.148 11.137
angles (deg): 97.38 80.08 90.00
Element x y z (fractional)
Pu  0.259  0.154  0.483
Pu  0.741  0.846  0.517
Pa  0.149  0.396  0.702
Pa  0.851  0.604  0.298
Pa  0.000  0.000  0.000
Pt  0.600  0.923  0.800
Pt  0.500  0.500  0.000
Pt  0.400  0.077  0.200

## Properties
Total energy = -10.01 eV per atom
ΔH_f (0 K) = -0.5973 eV per atom
Size of the total moment = 0.00 μB per formula unit


Entry 5:
First-principles (PBE) data for Cr3Co after structural relaxation, as listed in Alexandria via LeMat-Bulk.

a b c (Å): 2.424 2.424 7.734
angles (deg): 90.00 90.00 90.00
Element x y z (fractional)
Co  0.000  0.000  0.000
Cr  0.000  0.000  0.500
Cr  0.500  0.500  0.232
Cr  0.500  0.500  0.768

## Properties
Total energy = -8.85 eV per atom
ΔH_f (0 K) = 0.1405 eV per atom
Size of the total moment = 0.00 μB per formula unit


Entry 6:
First-principles (PBE) data for Y3ThAu4 after structural relaxation, as listed in Alexandria via LeMat-Bulk.

a b c (Å): 5.130 5.130 8.987
angles (deg): 73.42 73.42 60.00
Element x y z (fractional)
Y  0.248  0.248  0.257
Y  0.752  0.752  0.743
Y  0.500  0.500  0.500
Au  0.874  0.874  0.378
Au  0.378  0.378  0.865
Au  0.126  0.126  0.622
Au  0.622  0.622  0.135
Th  0.000  0.000  0.000

## Properties
Total energy = -5.76 eV per atom
ΔH_f (0 K) = -0.7702 eV per atom
Size of the total moment = 0.00 μB per formula unit


Entry 7:
First-principles (PBE) data for ZnCrSCl2 after structural relaxation, as listed in Alexandria via LeMat-Bulk.

a b c (Å): 4.711 4.711 4.947
angles (deg): 90.00 90.00 90.00
Last column: magnetic moment on the atom in μB.
Element x y z (fractional)
Cr  0.500  0.500  0.500  4.08
Zn  0.000  0.000  0.000  0.00
S  0.000  0.000  0.500  -0.28
Cl  0.000  0.500  0.000  -0.03
Cl  0.500  0.000  0.000  -0.03

## Properties
Total energy = -3.79 eV per atom
Formation energy without anion corrections = -0.042 eV/atom
Size of the total moment = 4.02 μB per formula unit


Entry 8:
First-principles (PBE) data for LaZrSn3 after structural relaxation, as listed in Alexandria via LeMat-Bulk.

a b c (Å): 5.752 5.752 5.752
angles (deg): 90.00 90.00 90.00
Element x y z (fractional)
Sn  0.000  0.500  0.000
Sn  0.000  0.000  0.500
Sn  0.500  0.000  0.000
Zr  0.500  0.500  0.500
La  0.000  0.000  0.000

## Properties
Total energy = -4.06 eV per atom
ΔH_f (0 K) = 1.0363 eV per atom
Size of the total moment = 0.00 μB per formula unit


Entry 9:
First-principles (PBE) data for TbTlGa after structural relaxation, as listed in Alexandria via LeMat-Bulk.

a b c (Å): 3.518 3.518 6.462
angles (deg): 105.80 105.80 90.00
Element x y z (fractional)
Tl  0.936  0.936  0.873
Tb  0.630  0.630  0.259
Ga  0.284  0.284  0.568

## Properties
Total energy = -3.57 eV per atom
ΔH_f (0 K) = -0.2249 eV per atom
Size of the total moment = 0.00 μB per formula unit


Entry 10:
First-principles (PBE) data for AlW2C after structural relaxation, as listed in Alexandria via LeMat-Bulk.

a b c (Å): 2.947 2.947 7.372
angles (deg): 78.47 78.47 60.00
Element x y z (fractional)
C  0.000  0.000  0.000
Al  0.500  0.500  0.500
W  0.273  0.273  0.181
W  0.727  0.727  0.819

## Properties
Total energy = -9.65 eV per atom
ΔH_f (0 K) = 0.0642 eV per atom
Size of the total moment = 0.00 μB per formula unit


Entry 11:
First-principles (PBE) data for Ca2OsF after structural relaxation, as listed in Alexandria via LeMat-Bulk.

a b c (Å): 6.770 6.770 6.063
angles (deg): 56.06 56.06 90.00
Last column: magnetic moment on the atom in μB.
Element x y z (fractional)
Ca  0.557  0.125  0.250  -0.02
Ca  0.193  0.625  0.250  -0.01
Ca  0.375  0.443  0.750  -0.02
Ca  0.875  0.807  0.750  -0.02
Os  0.000  0.000  0.000  1.06
Os  0.750  0.250  0.500  1.03
F  0.500  0.500  0.000  0.00
F  0.250  0.750  0.500  0.00

## Properties
Total energy = -4.97 eV per atom
Formation energy without anion corrections = -0.690 eV/atom
Size of the total moment = 1.00 μB per formula unit


Entry 12:
First-principles (PBE) data for TbCeNd2Te5 after structural relaxation, as listed in Alexandria via LeMat-Bulk.

a b c (Å): 5.566 5.566 11.918
angles (deg): 90.00 90.00 90.00
Last column: magnetic moment on the atom in μB.
Element x y z (fractional)
Tb  0.000  0.000  0.500  0.02
Ce  0.000  0.000  0.000  1.17
Nd  0.500  0.500  0.345  0.12
Nd  0.500  0.500  0.655  0.12
Te  0.000  0.500  0.500  0.00
Te  0.500  0.000  0.500  0.00
Te  0.000  0.000  0.749  -0.01
Te  0.000  0.000  0.251  -0.01
Te  0.500  0.500  0.000  -0.01

## Properties
Total energy = -4.80 eV per atom
Formation energy without anion corrections = -0.817 eV/atom
Size of the total moment = 1.69 μB per formula unit


Entry 13:
First-principles (PBE) data for Mg4Ga3Ag5 after structural relaxation, as listed in Alexandria via LeMat-Bulk.

a b c (Å): 4.876 5.741 9.675
angles (deg): 83.46 75.40 64.87
Element x y z (fractional)
Mg  0.957  0.221  0.865
Mg  0.292  0.620  0.795
Mg  0.708  0.380  0.205
Mg  0.043  0.779  0.135
Ga  0.369  0.991  0.271
Ga  0.000  0.500  0.500
Ga  0.631  0.009  0.729
Ag  0.198  0.017  0.588
Ag  0.500  0.500  0.500
Ag  0.348  0.277  0.026
Ag  0.652  0.723  0.974
Ag  0.802  0.983  0.412

## Properties
Total energy = -2.52 eV per atom
ΔH_f (0 K) = -0.0424 eV per atom
Size of the total moment = 0.00 μB per formula unit


Entry 14:
First-principles (PBE) data for K2Tl3Cd6 after structural relaxation, as listed in Alexandria via LeMat-Bulk.

a b c (Å): 4.955 8.846 8.846
angles (deg): 120.00 90.00 90.00
Element x y z (fractional)
K  0.000  0.667  0.333
K  0.000  0.333  0.667
Tl  0.500  0.590  0.000
Tl  0.500  0.000  0.590
Tl  0.500  0.410  0.410
Cd  0.500  0.243  0.000
Cd  0.500  0.757  0.757
Cd  0.000  0.802  0.000
Cd  0.000  0.000  0.802
Cd  0.500  0.000  0.243
Cd  0.000  0.198  0.198

## Properties
Total energy = -1.38 eV per atom
ΔH_f (0 K) = -0.0394 eV per atom
Size of the total moment = 0.00 μB per formula unit


Entry 15:
First-principles (PBE) data for Pr7InHg3 after structural relaxation, as listed in Alexandria via LeMat-Bulk.

a b c (Å): 5.977 8.265 8.265
angles (deg): 89.99 111.22 111.22
Element x y z (fractional)
Pr  0.180  0.179  0.179
Pr  0.327  0.056  0.599
Pr  0.673  0.401  0.944
Pr  0.327  0.599  0.056
Pr  0.000  0.500  0.500
Pr  0.673  0.944  0.401
Pr  0.820  0.821  0.821
In  0.500  0.500  0.500
Hg  0.000  0.770  0.230
Hg  0.500  0.000  0.000
Hg  0.000  0.230  0.770

## Properties
Total energy = -3.59 eV per atom
ΔH_f (0 K) = -0.2139 eV per atom
Size of the total moment = 0.00 μB per formula unit


Entry 16:
First-principles (PBE) data for LaZn4Pd2 after structural relaxation, as listed in Alexandria via LeMat-Bulk.

a b c (Å): 4.296 7.654 7.654
angles (deg): 90.00 90.00 90.00
Element x y z (fractional)
La  0.500  0.000  0.000
La  0.000  0.500  0.500
Zn  0.000  0.093  0.352
Zn  0.000  0.907  0.648
Zn  0.500  0.148  0.593
Zn  0.500  0.852  0.407
Zn  0.500  0.407  0.852
Zn  0.500  0.593  0.148
Zn  0.000  0.352  0.093
Zn  0.000  0.648  0.907
Pd  0.000  0.225  0.775
Pd  0.000  0.775  0.225
Pd  0.500  0.725  0.725
Pd  0.500  0.275  0.275

## Properties
Total energy = -3.48 eV per atom
ΔH_f (0 K) = -0.5597 eV per atom
Size of the total moment = 0.00 μB per formula unit


Entry 17:
First-principles (PBE) data for NdY5Au6 after structural relaxation, as listed in Alexandria via LeMat-Bulk.

a b c (Å): 5.143 7.205 8.155
angles (deg): 90.00 108.44 90.00
Element x y z (fractional)
Y  0.665  0.500  0.332
Y  0.333  0.000  0.665
Y  0.000  0.500  0.000
Y  0.667  0.000  0.335
Y  0.335  0.500  0.668
Au  0.831  0.747  0.659
Au  0.831  0.253  0.659
Au  0.500  0.260  0.000
Au  0.500  0.740  0.000
Au  0.169  0.747  0.341
Au  0.169  0.253  0.341
Nd  0.000  0.000  0.000

## Properties
Total energy = -5.57 eV per atom
ΔH_f (0 K) = -0.8417 eV per atom
Size of the total moment = 0.00 μB per formula unit


Entry 18:
First-principles (PBE) data for RhIO2 after structural relaxation, as listed in Alexandria via LeMat-Bulk.

a b c (Å): 4.190 4.190 4.190
angles (deg): 60.00 60.00 60.00
Last column: magnetic moment on the atom in μB.
Element x y z (fractional)
I  0.500  0.500  0.500  -0.05
Rh  0.000  0.000  0.000  0.88
O  0.250  0.250  0.250  0.10
O  0.750  0.750  0.750  0.10

## Properties
Total energy = -3.98 eV per atom
Formation energy without anion corrections = 0.726 eV/atom
Size of the total moment = 1.04 μB per formula unit


Entry 19:
First-principles (PBE) data for Bi5Pd5Au after structural relaxation, as listed in Alexandria via LeMat-Bulk.

a b c (Å): 5.390 7.429 7.305
angles (deg): 108.61 90.00 111.27
Element x y z (fractional)
Bi  0.692  0.384  0.281
Bi  0.627  0.254  0.762
Bi  0.000  0.000  0.500
Bi  0.373  0.746  0.238
Bi  0.308  0.616  0.719
Pd  0.817  0.634  0.060
Pd  0.832  0.664  0.662
Pd  0.500  0.000  0.000
Pd  0.168  0.336  0.338
Pd  0.183  0.366  0.940
Au  0.000  0.000  0.000

## Properties
Total energy = -4.54 eV per atom
ΔH_f (0 K) = -0.1175 eV per atom
Size of the total moment = 0.00 μB per formula unit


Entry 20:
First-principles (PBE) data for Pr2Nd4Dy after structural relaxation, as listed in Alexandria via LeMat-Bulk.

a b c (Å): 3.673 3.673 21.051
angles (deg): 85.00 85.00 60.00
Element x y z (fractional)
Pr  0.428  0.428  0.716
Pr  0.572  0.572  0.284
Nd  0.143  0.143  0.571
Nd  0.287  0.287  0.139
Nd  0.713  0.713  0.861
Nd  0.857  0.857  0.429
Dy  0.000  0.000  0.000

## Properties
Total energy = -4.74 eV per atom
ΔH_f (0 K) = 0.0109 eV per atom
Size of the total moment = 0.00 μB per formula unit